# LiTmGa4Ru2 PBE-GGA optimized geometry
data_LiTmGa4Ru2
_chemical_formula_sum 'Li3 Tm3 Ga12 Ru6'
_symmetry_space_group_name_H-M 'R -3 m'
_symmetry_Int_Tables_number 166
_symmetry_space_group_name_Hall '-R 3 2"'
_cell_length_a 4.4097
_cell_length_b 4.4097
_cell_length_c 22.2879
_cell_angle_alpha 90.00
_cell_angle_beta 90.00
_cell_angle_gamma 120.00
loop_
_atom_site_label
_atom_site_fract_x
_atom_site_fract_y
_atom_site_fract_z
_atom_site_occupancy
Li1 0.0000 0.0000 0.0000 1
Tm1 0.0000 0.0000 0.5000 1
Ga1 0.0000 0.0000 0.1114 1
Ga2 0.0000 0.0000 0.3673 1
Ru1 0.0000 0.0000 0.2505 1
# Energy of formation ... -0.387 eV per atom
# E ... -5.0173 eV/atom